(1)
DFT (PBE) results for a relaxed CrCoSb2 crystal.

Output
Spin magnetization ... 0.0 Bohr magnetons per cell
Raw formation energy ... 41.72 kJ/mol of atoms
Final energy ... -5.811 eV/atom

Structure (CIF):
```
data_CrCoSb2
_chemical_formula_sum 'Cr4 Co4 Sb8'
_space_group_name_H-M_alt 'F m -3 m'
_space_group_IT_number 225
_space_group_name_Hall '-F 4 2 3'
_cell_length_a 6.4163
_cell_length_b 6.4163
_cell_length_c 6.4163
_cell_angle_alpha 90.00
_cell_angle_beta 90.00
_cell_angle_gamma 90.00
loop_
_atom_site_label
_atom_site_fract_x
_atom_site_fract_y
_atom_site_fract_z
_atom_site_occupancy
Cr1 0.0000 0.0000 0.0000 1
Co1 0.0000 0.0000 0.5000 1
Sb1 0.2500 0.2500 0.2500 1
```

(2)
DFT (PBE) results for a relaxed Zr2Cd5 crystal.

Output
Spin magnetization ... 0.0 Bohr magnetons per cell
Final energy ... -3.114 eV/atom

Structure (CIF):
```
data_Zr2Cd5
_chemical_formula_sum 'Zr8 Cd20'
_space_group_name_H-M_alt 'C 1 2/c 1'
_space_group_IT_number 15
_cell_length_a 13.7834
_cell_length_b 5.5482
_cell_length_c 8.0403
_cell_angle_alpha 90.00
_cell_angle_beta 92.44
_cell_angle_gamma 90.00
loop_
_space_group_symop_operation_xyz
'x,y,z'
'-x,-y,-z'
'-x,y,-z+1/2'
'x,-y,z+1/2'
'x+1/2,y+1/2,z'
'-x+1/2,-y+1/2,-z'
'-x+1/2,y+1/2,-z+1/2'
'x+1/2,-y+1/2,z+1/2'
loop_
_atom_site_label
_atom_site_fract_x
_atom_site_fract_y
_atom_site_fract_z
_atom_site_occupancy
Zr1 0.0695 0.1518 0.1032 1
Cd1 0.0000 0.3427 0.7500 1
Cd2 0.1418 0.3374 0.4563 1
Cd3 0.2154 0.1656 0.8232 1
```

(3)
DFT (PBE) results for a relaxed TbHo2Au crystal.

Output
Distance to the lowest polymorph of the same formula ... 0.199 eV per atom
Spin magnetization ... 0.0 Bohr magnetons per cell
Final energy ... -4.515 eV/atom

Structure (CIF):
```
data_TbHo2Au
_chemical_formula_sum 'Tb1 Ho2 Au1'
_space_group_name_H-M_alt 'P 4/m m m'
_space_group_IT_number 123
_space_group_name_Hall '-P 4 2'
_cell_length_a 4.7067
_cell_length_b 4.7067
_cell_length_c 4.7127
_cell_angle_alpha 90.00
_cell_angle_beta 90.00
_cell_angle_gamma 90.00
loop_
_atom_site_label
_atom_site_fract_x
_atom_site_fract_y
_atom_site_fract_z
_atom_site_occupancy
Tb1 0.0000 0.0000 0.0000 1
Ho1 0.0000 0.5000 0.5000 1
Au1 0.5000 0.5000 0.0000 1
```

(4)
DFT (PBE) results for a relaxed Be2RuBr crystal.

Output
Distance to the lowest polymorph of the same formula ... 0.778 eV per atom
Spin magnetization ... 0.0 Bohr magnetons per cell
Raw formation energy ... 86.26 kJ/mol of atoms
Final energy ... -3.706 eV/atom

Structure (CIF):
```
data_Be2RuBr
_chemical_formula_sum 'Be8 Ru4 Br4'
_space_group_name_H-M_alt 'F m -3 m'
_space_group_IT_number 225
_space_group_name_Hall '-F 4 2 3'
_cell_length_a 5.9174
_cell_length_b 5.9174
_cell_length_c 5.9174
_cell_angle_alpha 90.00
_cell_angle_beta 90.00
_cell_angle_gamma 90.00
loop_
_atom_site_label
_atom_site_fract_x
_atom_site_fract_y
_atom_site_fract_z
_atom_site_occupancy
Be1 0.2500 0.2500 0.2500 1
Ru1 0.0000 0.0000 0.0000 1
Br1 0.0000 0.0000 0.5000 1
```

(5)
DFT (PBE) results for a relaxed TiRuO2 crystal.

Output
Distance to the lowest polymorph of the same formula ... 0.908 eV per atom
Spin magnetization ... 0.0 Bohr magnetons per cell
Raw formation energy ... -77.96 kJ/mol of atoms
Final energy ... -7.580 eV/atom

Structure (CIF):
```
data_TiRuO2
_chemical_formula_sum 'Ti4 Ru4 O8'
_space_group_name_H-M_alt 'F m -3 m'
_space_group_IT_number 225
_space_group_name_Hall '-F 4 2 3'
_cell_length_a 5.4374
_cell_length_b 5.4374
_cell_length_c 5.4374
_cell_angle_alpha 90.00
_cell_angle_beta 90.00
_cell_angle_gamma 90.00
loop_
_atom_site_label
_atom_site_fract_x
_atom_site_fract_y
_atom_site_fract_z
_atom_site_occupancy
Ti1 0.0000 0.0000 0.0000 1
Ru1 0.0000 0.0000 0.5000 1
O1 0.2500 0.2500 0.2500 1
```

(6)
DFT (PBE) results for a relaxed Hf3ScIr crystal.

Output
Distance to the lowest polymorph of the same formula ... 0.000 eV per atom
Spin magnetization ... 0.0 Bohr magnetons per cell
Final energy ... -9.298 eV/atom

Structure (CIF):
```
data_Hf3ScIr
_chemical_formula_sum 'Hf12 Sc4 Ir4'
_space_group_name_H-M_alt 'C 1 2/m 1'
_space_group_IT_number 12
_cell_length_a 10.4551
_cell_length_b 7.7354
_cell_length_c 7.0389
_cell_angle_alpha 90.00
_cell_angle_beta 125.84
_cell_angle_gamma 90.00
loop_
_space_group_symop_operation_xyz
'x,y,z'
'-x,-y,-z'
'-x,y,-z'
'x,-y,z'
'x+1/2,y+1/2,z'
'-x+1/2,-y+1/2,-z'
'-x+1/2,y+1/2,-z'
'x+1/2,-y+1/2,z'
loop_
_atom_site_label
_atom_site_fract_x
_atom_site_fract_y
_atom_site_fract_z
_atom_site_occupancy
Hf1 0.0800 0.0000 0.2773 1
Hf2 0.1828 0.2007 0.7126 1
Sc1 0.0485 0.5000 0.3101 1
Ir1 0.2312 0.0000 0.0729 1
```

(7)
DFT (PBE) results for a relaxed BeNbCo4 crystal.

Output
Distance to the lowest polymorph of the same formula ... 0.000 eV per atom
Spin magnetization ... 10.0 Bohr magnetons per cell
Final energy ... -7.072 eV/atom

Structure (CIF):
```
data_BeNbCo4
_chemical_formula_sum 'Be4 Nb4 Co16'
_space_group_name_H-M_alt 'F -4 3 m'
_space_group_IT_number 216
_space_group_name_Hall 'F -4 2 3'
_cell_length_a 6.5618
_cell_length_b 6.5618
_cell_length_c 6.5618
_cell_angle_alpha 90.00
_cell_angle_beta 90.00
_cell_angle_gamma 90.00
loop_
_atom_site_label
_atom_site_fract_x
_atom_site_fract_y
_atom_site_fract_z
_atom_site_occupancy
Be1 0.0000 0.0000 0.0000 1
Nb1 0.2500 0.2500 0.2500 1
Co1 0.1260 0.1260 0.6260 1
```

(8)
DFT (PBE) results for a relaxed CdPdSCl2 crystal.

Output
Distance to the lowest polymorph of the same formula ... 0.405 eV per atom
Spin magnetization ... 1.9 Bohr magnetons per cell
Raw formation energy ... 26.99 kJ/mol of atoms
Final energy ... -2.506 eV/atom

Structure (CIF):
```
data_CdPdSCl2
_chemical_formula_sum 'Cd1 Pd1 S1 Cl2'
_space_group_name_H-M_alt 'P 4/m m m'
_space_group_IT_number 123
_space_group_name_Hall '-P 4 2'
_cell_length_a 5.0923
_cell_length_b 5.0923
_cell_length_c 5.1677
_cell_angle_alpha 90.00
_cell_angle_beta 90.00
_cell_angle_gamma 90.00
loop_
_atom_site_label
_atom_site_fract_x
_atom_site_fract_y
_atom_site_fract_z
_atom_site_occupancy
Cd1 0.0000 0.0000 0.0000 1
Pd1 0.5000 0.5000 0.5000 1
S1 0.0000 0.0000 0.5000 1
Cl1 0.0000 0.5000 0.0000 1
```

(9)
DFT (PBE) results for a relaxed BiPd2Pb crystal.

Output
Spin magnetization ... 0.0 Bohr magnetons per cell
Final energy ... -4.687 eV/atom

Structure (CIF):
```
data_BiPd2Pb
_chemical_formula_sum 'Bi4 Pd8 Pb4'
_space_group_name_H-M_alt 'F m -3 m'
_space_group_IT_number 225
_space_group_name_Hall '-F 4 2 3'
_cell_length_a 7.0061
_cell_length_b 7.0061
_cell_length_c 7.0061
_cell_angle_alpha 90.00
_cell_angle_beta 90.00
_cell_angle_gamma 90.00
loop_
_atom_site_label
_atom_site_fract_x
_atom_site_fract_y
_atom_site_fract_z
_atom_site_occupancy
Bi1 0.0000 0.0000 0.0000 1
Pd1 0.2500 0.2500 0.2500 1
Pb1 0.0000 0.0000 0.5000 1
```

(10)
DFT (PBE) results for a relaxed CsTl2Hg2Au2 crystal.

Output
Spin magnetization ... 0.0 Bohr magnetons per cell
Final energy ... -1.940 eV/atom

Structure (CIF):
```
data_CsTl2Hg2Au2
_chemical_formula_sum 'Cs3 Tl6 Hg6 Au6'
_space_group_name_H-M_alt 'R -3 m'
_space_group_IT_number 166
_space_group_name_Hall '-R 3 2"'
_cell_length_a 4.9684
_cell_length_b 4.9684
_cell_length_c 31.2466
_cell_angle_alpha 90.00
_cell_angle_beta 90.00
_cell_angle_gamma 120.00
loop_
_atom_site_label
_atom_site_fract_x
_atom_site_fract_y
_atom_site_fract_z
_atom_site_occupancy
Cs1 0.0000 0.0000 0.0000 1
Tl1 0.0000 0.0000 0.1338 1
Hg1 0.0000 0.0000 0.2494 1
Au1 0.0000 0.0000 0.4235 1
```

(11)
DFT (PBE) results for a relaxed Nd2ScPb3 crystal.

Output
Spin magnetization ... 0.0 Bohr magnetons per cell
Final energy ... -4.950 eV/atom

Structure (CIF):
```
data_Nd2ScPb3
_chemical_formula_sum 'Nd8 Sc4 Pb12'
_space_group_name_H-M_alt 'C 1 2/c 1'
_space_group_IT_number 15
_cell_length_a 6.0733
_cell_length_b 14.3124
_cell_length_c 8.5640
_cell_angle_alpha 90.00
_cell_angle_beta 105.21
_cell_angle_gamma 90.00
loop_
_space_group_symop_operation_xyz
'x,y,z'
'-x,-y,-z'
'-x,y,-z+1/2'
'x,-y,z+1/2'
'x+1/2,y+1/2,z'
'-x+1/2,-y+1/2,-z'
'-x+1/2,y+1/2,-z+1/2'
'x+1/2,-y+1/2,z+1/2'
loop_
_atom_site_label
_atom_site_fract_x
_atom_site_fract_y
_atom_site_fract_z
_atom_site_occupancy
Nd1 0.0000 0.0186 0.2500 1
Nd2 0.0000 0.3259 0.2500 1
Sc1 0.0000 0.3430 0.7500 1
Pb1 0.0000 0.5000 0.0000 1
Pb2 0.0432 0.1719 0.9803 1
```

(12)
DFT (PBE) results for a relaxed TbDy2Sb crystal.

Output
Distance to the lowest polymorph of the same formula ... 0.000 eV per atom
Spin magnetization ... 0.0 Bohr magnetons per cell
Raw formation energy ... -53.35 kJ/mol of atoms
Final energy ... -5.042 eV/atom

Structure (CIF):
```
data_TbDy2Sb
_chemical_formula_sum 'Tb4 Dy8 Sb4'
_space_group_name_H-M_alt 'C m c m'
_space_group_IT_number 63
_space_group_name_Hall '-C 2c 2'
_cell_length_a 4.1181
_cell_length_b 12.1973
_cell_length_c 9.5679
_cell_angle_alpha 90.00
_cell_angle_beta 90.00
_cell_angle_gamma 90.00
loop_
_atom_site_label
_atom_site_fract_x
_atom_site_fract_y
_atom_site_fract_z
_atom_site_occupancy
Tb1 0.0000 0.0596 0.2500 1
Dy1 0.0000 0.3634 0.0457 1
Sb1 0.0000 0.2404 0.7500 1
```

(13)
DFT (PBE) results for a relaxed CeErZr2N4 crystal.

Output
Spin magnetization ... 0.0 Bohr magnetons per cell
Raw formation energy ... -158.97 kJ/mol of atoms
Final energy ... -9.259 eV/atom

Structure (CIF):
```
data_CeErZr2N4
_chemical_formula_sum 'Ce2 Er2 Zr4 N8'
_space_group_name_H-M_alt 'I -4 m 2'
_space_group_IT_number 119
_space_group_name_Hall 'I -4 -2'
_cell_length_a 4.7744
_cell_length_b 4.7744
_cell_length_c 9.5537
_cell_angle_alpha 90.00
_cell_angle_beta 90.00
_cell_angle_gamma 90.00
loop_
_atom_site_label
_atom_site_fract_x
_atom_site_fract_y
_atom_site_fract_z
_atom_site_occupancy
Ce1 0.0000 0.0000 0.0000 1
Er1 0.0000 0.5000 0.2500 1
Zr1 0.0000 0.0000 0.5000 1
Zr2 0.0000 0.5000 0.7500 1
N1 0.0000 0.0000 0.2558 1
N2 0.0000 0.5000 0.5037 1
```